This record from Alexandria via LeMat-Bulk describes crystalline Tb3SnSO at its relaxed geometry. The functional is PBE-GGA.

Summary:
- ΔE_f (raw): -1872 meV per atom
- Density of states at the Fermi level: 4.1 states/eV/cell
- Calculated volume: 24.62 A^3/atom

Cell lengths 8.661, 3.926, 8.934 Å; angles 90.00, 103.46, 90.00 degrees
Atoms (fractional coordinates):
Tb: 0.068 0.250 0.344
Tb: 0.331 0.250 0.980
Tb: 0.389 0.750 0.643
Tb: 0.611 0.250 0.357
Tb: 0.669 0.750 0.020
Tb: 0.932 0.750 0.656
Sn: 0.315 0.750 0.273
Sn: 0.685 0.250 0.727
S: 0.160 0.250 0.660
S: 0.840 0.750 0.340
O: 0.410 0.750 0.903
O: 0.590 0.250 0.097